Compound: HgPd2O4
Source: OQMD via LeMat-Bulk
Functional: PBE
Structure: relaxed

Lattice parameters (Å, degrees): 6.438 6.438 6.438 60.00 60.00 60.00
Positions (direct):
Hg 0.125 0.125 0.125
Hg 0.875 0.875 0.875
Pd 0.000 0.500 0.500
Pd 0.500 0.000 0.500
Pd 0.500 0.500 0.000
Pd 0.500 0.500 0.500
O 0.271 0.271 0.271
O 0.271 0.271 0.686
O 0.271 0.686 0.271
O 0.314 0.729 0.729
O 0.686 0.271 0.271
O 0.729 0.314 0.729
O 0.729 0.729 0.314
O 0.729 0.729 0.729

Properties
total DFT energy (no corrections)	-32.5	eV/f.u.
calculated volume	13.5	A^3/atom